# Sc4NiPb

A relaxed Sc4NiPb crystal (PBE, the Alexandria database).

Output
crystal system: cubic
ΔH_f (0 K): 0.343 eV per atom
SG: F-43m
final energy: -32.756 eV/cell

The structure in POSCAR format:
```
Sc4NiPb
1.0
0.0000 4.0747 4.0747
4.0747 0.0000 4.0747
4.0747 4.0747 0.0000
Ni Sc Pb
1 4 1
Cartesian
6.1121 6.1121 6.1121
5.0920 5.0920 3.0574
3.0574 5.0920 5.0920
5.0920 3.0574 5.0920
3.0574 3.0574 3.0574
0.0000 0.0000 0.0000
```